Material: MgPd3Pt
Method: DFT, GGA-PBE
State: optimized geometry

Output
**Formation energy**: 691 meV per atom
**Relative energy among the computed polymorphs**: 960 meV/atom
**Symmetry**: Pm-3m, No. 221
**Raw total energy**: -3.9515 eV per atom

Lattice parameters (Å, degrees): 4.898 4.898 4.898 90.00 90.00 90.00
Atoms (fractional coordinates):
Mg 0.000 0.000 0.000
Pd 0.000 0.500 0.500
Pd 0.500 0.000 0.500
Pd 0.500 0.500 0.000
Pt 0.500 0.500 0.500